(1)
KPdS4 after structural relaxation, computed with GGA-PBE.

Calculated values
Energy   -47.0 eV per cell
Uncorrected formation energy   -0.1173 eV per atom

```
12
Lattice="7.317 0.000 3.429 -1.606 7.139 3.429 0.887 1.109 7.630" Properties=species:S:1:pos:R:3 pbc="T T T"
K 0.534 2.954 3.622
K 6.064 5.294 10.865
Pd 3.390 6.524 7.050
Pd 3.209 1.724 7.436
S 2.028 6.377 9.001
S 3.147 4.666 8.523
S -0.883 6.393 4.365
S 0.709 7.109 5.530
S 4.570 1.871 5.486
S 3.451 3.582 5.963
S 7.481 1.854 10.122
S 5.889 1.138 8.957
```

***

(2)
BaTcW after structural relaxation, computed with GGA-PBE.

Calculated values
Energy relative to the elements   1031 meV/atom
Distance to the lowest polymorph of the same formula   320 meV per atom
Energy   -22.1 eV per cell

```
3
Lattice="3.332 0.000 0.000 -1.666 2.886 0.000 0.000 0.000 7.653" Properties=species:S:1:pos:R:3 pbc="T T T"
Ba 0.000 0.000 0.039
Tc 0.000 1.924 3.045
W 1.666 0.962 4.569
```